Computed, not measured: Th6Sn3C after structural relaxation at the PBE level of DFT.

- Energy of formation: -3.5 eV per formula unit

Cell: 6.4581 8.4526 10.7727 Å, 90.00 88.77 90.00°
Fractional coordinates of all 20 atoms:
Th (0.6535, 0.1497, 0.9502)
Th (0.6090, 0.2204, 0.5523)
Th (0.6360, 0.4611, 0.2748)
Th (0.3640, 0.5389, 0.7252)
Th (0.3910, 0.7796, 0.4477)
Th (0.3465, 0.8503, 0.0498)
Th (0.1535, 0.3503, 0.4502)
Th (0.1090, 0.2796, 0.0523)
Th (0.1360, 0.0389, 0.7748)
Th (0.8640, 0.9611, 0.2252)
Th (0.8910, 0.7204, 0.9477)
Th (0.8465, 0.6497, 0.5498)
Sn (0.6005, 0.8890, 0.7372)
Sn (0.5000, 0.5000, 0.0000)
Sn (0.3995, 0.1110, 0.2628)
Sn (0.1005, 0.6110, 0.2372)
Sn (0.0000, 0.0000, 0.5000)
Sn (0.8995, 0.3890, 0.7628)
C (0.5000, 0.5000, 0.5000)
C (0.0000, 0.0000, 0.0000)


Computed, not measured: Th3SnC after structural relaxation at the PBE level of DFT.

- Energy of formation: -2.0 eV per formula unit

Cell: 3.9314 8.9124 14.9480 Å, 90.00 90.00 90.00°
Fractional coordinates of all 20 atoms:
Th (0.7500, 0.2081, 0.3004)
Th (0.2500, 0.6729, 0.9958)
Th (0.2500, 0.0283, 0.1010)
Th (0.2500, 0.5283, 0.3990)
Th (0.2500, 0.1729, 0.5042)
Th (0.7500, 0.4717, 0.6010)
Th (0.2500, 0.2919, 0.8004)
Th (0.7500, 0.9717, 0.8990)
Th (0.7500, 0.3271, 0.0042)
Th (0.7500, 0.7081, 0.1996)
Th (0.7500, 0.8271, 0.4958)
Th (0.2500, 0.7919, 0.6996)
Sn (0.2500, 0.9147, 0.3250)
Sn (0.7500, 0.0853, 0.6750)
Sn (0.7500, 0.5853, 0.8250)
Sn (0.2500, 0.4147, 0.1750)
C (0.2500, 0.6577, 0.5529)
C (0.7500, 0.3423, 0.4471)
C (0.7500, 0.8423, 0.0529)
C (0.2500, 0.1577, 0.9471)


Computed, not measured: Th2SnC after structural relaxation at the PBE level of DFT.

- Energy of formation: -1.6 eV per formula unit

Cell: 4.8309 7.3991 11.1940 Å, 90.00 90.00 90.00°
Fractional coordinates of all 16 atoms:
Th (0.7500, 0.1572, 0.5515)
Th (0.2500, 0.3428, 0.0515)
Th (0.2500, 0.8428, 0.4485)
Th (0.7500, 0.6572, 0.9485)
Th (0.7500, 0.5876, 0.2841)
Th (0.2500, 0.9124, 0.7841)
Th (0.2500, 0.4124, 0.7159)
Th (0.7500, 0.0876, 0.2159)
Sn (0.7500, 0.6675, 0.6336)
Sn (0.2500, 0.8325, 0.1336)
Sn (0.2500, 0.3325, 0.3664)
Sn (0.7500, 0.1675, 0.8664)
C (0.7500, 0.9262, 0.3977)
C (0.2500, 0.5738, 0.8977)
C (0.2500, 0.0738, 0.6023)
C (0.7500, 0.4262, 0.1023)


Computed, not measured: Th2SnC after structural relaxation at the PBE level of DFT.

- Energy of formation: -1.8 eV per formula unit

Cell: 3.7393 3.7393 8.5525 Å, 77.37 77.37 60.00°
Fractional coordinates of all 4 atoms:
C (0.5000, 0.5000, 0.5000)
Sn (0.0000, 0.0000, 0.0000)
Th (0.7749, 0.7749, 0.6753)
Th (0.2251, 0.2251, 0.3247)


Computed, not measured: Th5Sn2C2 after structural relaxation at the PBE level of DFT.

- Energy of formation: -2.6 eV per formula unit

Cell: 8.0099 6.7744 10.6957 Å, 108.46 111.99 90.00°
Fractional coordinates of all 18 atoms:
Th (0.2281, 0.7109, 0.9563)
Th (0.7719, 0.7546, 0.0437)
Th (0.2282, 0.2109, 0.9563)
Th (0.7718, 0.2546, 0.0437)
Th (0.1977, 0.1159, 0.2766)
Th (0.8023, 0.8392, 0.7234)
Th (0.5790, 0.6159, 0.2766)
Th (0.4210, 0.3392, 0.7234)
Th (0.0991, 0.6499, 0.5000)
Th (0.9009, 0.1499, 0.5000)
Sn (0.1555, 0.5927, 0.2149)
Sn (0.8445, 0.3778, 0.7851)
Sn (0.5594, 0.0927, 0.2149)
Sn (0.4406, 0.8778, 0.7851)
C (0.0000, 0.9876, 0.0000)
C (0.5000, 0.4876, 0.0000)
C (0.1736, 0.3075, 0.5000)
C (0.8264, 0.8075, 0.5000)


Computed, not measured: Th6Sn2C after structural relaxation at the PBE level of DFT.

- Energy of formation: -2.7 eV per formula unit
- Offset from the most stable computed form: 0 meV/atom

Cell: 6.4932 8.0919 10.0918 Å, 90.00 92.30 90.00°
Fractional coordinates of all 18 atoms:
Th (0.8885, 0.9798, 0.2483)
Th (0.8649, 0.7109, 0.5429)
Th (0.8436, 0.6659, 0.9658)
Th (0.6564, 0.1659, 0.5342)
Th (0.6351, 0.2109, 0.9571)
Th (0.6115, 0.4798, 0.2517)
Th (0.1115, 0.0202, 0.7517)
Th (0.1351, 0.2891, 0.4571)
Th (0.1564, 0.3341, 0.0342)
Th (0.3436, 0.8341, 0.4658)
Th (0.3649, 0.7891, 0.0429)
Th (0.3885, 0.5202, 0.7483)
Sn (0.9131, 0.3928, 0.7413)
Sn (0.5869, 0.8928, 0.7587)
Sn (0.4131, 0.1072, 0.2413)
Sn (0.0869, 0.6072, 0.2587)
C (0.5000, 0.5000, 0.0000)
C (0.0000, 0.0000, 0.5000)


Computed, not measured: Th6SnC after structural relaxation at the PBE level of DFT.

- Energy of formation: -1.6 eV per formula unit

Cell: 6.2021 6.2011 6.2015 Å, 79.80 100.21 79.81°
Fractional coordinates of all 8 atoms:
Th (0.0794, 0.3468, 0.7761)
Th (0.7761, 0.9205, 0.6532)
Th (0.6532, 0.2239, 0.0793)
Th (0.2239, 0.0795, 0.3468)
Th (0.9206, 0.6532, 0.2239)
Th (0.3468, 0.7761, 0.9207)
Sn (0.5000, 0.5000, 0.5000)
C (0.0000, 0.0000, 0.0000)


Computed, not measured: Th5Sn2C after structural relaxation at the PBE level of DFT.

- Energy of formation: 1.0 eV per formula unit

Cell: 5.5108 8.6271 11.9868 Å, 90.00 90.00 108.63°
Fractional coordinates of all 16 atoms:
Th (0.9225, 0.8451, 0.8765)
Th (0.9225, 0.8451, 0.6235)
Th (0.2907, 0.5813, 0.4228)
Th (0.2907, 0.5813, 0.0772)
Th (0.6920, 0.3840, 0.2500)
Th (0.3080, 0.6160, 0.7500)
Th (0.7093, 0.4187, 0.5772)
Th (0.7093, 0.4187, 0.9228)
Th (0.0775, 0.1549, 0.1235)
Th (0.0775, 0.1549, 0.3765)
Sn (0.8757, 0.7514, 0.3716)
Sn (0.8757, 0.7514, 0.1284)
Sn (0.1243, 0.2486, 0.6284)
Sn (0.1243, 0.2486, 0.8716)
C (0.8010, 0.6020, 0.7500)
C (0.1990, 0.3980, 0.2500)


Computed, not measured: Th6Sn2C after structural relaxation at the PBE level of DFT.

- Energy of formation: -2.6 eV per formula unit
- Offset from the most stable computed form: 11 meV/atom

Cell: 7.0692 7.0694 10.0079 Å, 90.00 90.01 90.00°
Fractional coordinates of all 18 atoms:
Th (0.0001, 0.9999, 0.2491)
Th (0.7487, 0.7499, 0.5001)
Th (0.7501, 0.7513, 0.0001)
Th (0.7499, 0.2513, 0.4999)
Th (0.7513, 0.2499, 0.9999)
Th (0.4999, 0.4999, 0.2509)
Th (0.9999, 0.0001, 0.7509)
Th (0.2513, 0.2501, 0.4999)
Th (0.2499, 0.2487, 0.9999)
Th (0.2501, 0.7487, 0.5001)
Th (0.2487, 0.7501, 0.0001)
Th (0.5001, 0.5001, 0.7491)
Sn (0.0000, 0.5001, 0.7500)
Sn (0.5000, 0.0001, 0.7500)
Sn (0.5000, 0.9999, 0.2500)
Sn (0.0000, 0.4999, 0.2500)
C (0.5000, 0.5000, 0.0000)
C (0.0000, 0.0000, 0.5000)


Computed, not measured: TmTh2SnC after structural relaxation at the PBE level of DFT.

- Energy of formation: -2.2 eV per formula unit

Cell: 4.8809 5.0658 5.0658 Å, 90.00 90.00 90.00°
Fractional coordinates of all 5 atoms:
Tm (0.5000, 0.0000, 0.0000)
Th (0.0000, 0.0000, 0.5000)
Th (0.0000, 0.5000, 0.0000)
Sn (0.5000, 0.5000, 0.5000)
C (0.0000, 0.0000, 0.0000)


Computed, not measured: Ti2SnC after structural relaxation at the PBE level of DFT.

- Energy of formation: -2.9 eV per formula unit
- Offset from the most stable computed form: 0 meV/atom

Cell: 3.1719 3.1719 13.8369 Å, 90.00 90.00 120.00°
Fractional coordinates of all 8 atoms:
Ti (0.3333, 0.6667, 0.0806)
Ti (0.3333, 0.6667, 0.4194)
Ti (0.6667, 0.3333, 0.5806)
Ti (0.6667, 0.3333, 0.9194)
Sn (0.3333, 0.6667, 0.7500)
Sn (0.6667, 0.3333, 0.2500)
C (0.0000, 0.0000, 0.0000)
C (0.0000, 0.0000, 0.5000)


Computed, not measured: TiSn2C after structural relaxation at the PBE level of DFT.

- Energy of formation: 3.0 eV per formula unit

Cell: 6.8267 6.8267 5.7775 Å, 53.79 53.79 90.00°
Fractional coordinates of all 8 atoms:
C (0.5000, 0.5000, 0.0000)
C (0.2500, 0.7500, 0.5000)
Sn (0.5556, 0.1250, 0.2500)
Sn (0.1944, 0.6250, 0.2500)
Sn (0.3750, 0.4444, 0.7500)
Sn (0.8750, 0.8056, 0.7500)
Ti (0.0000, 0.0000, 0.0000)
Ti (0.7500, 0.2500, 0.5000)


Computed, not measured: Ti2SnC after structural relaxation at the PBE level of DFT.

- Energy of formation: 3.3 eV per formula unit
- Offset from the most stable computed form: 1552 meV/atom

Cell: 4.4474 4.4474 4.4474 Å, 60.00 60.00 60.00°
Fractional coordinates of all 4 atoms:
C (0.0000, 0.0000, 0.0000)
Sn (0.5000, 0.5000, 0.5000)
Ti (0.2500, 0.2500, 0.2500)
Ti (0.7500, 0.7500, 0.7500)


Computed, not measured: Ti2SnC after structural relaxation at the PBE level of DFT.

- Energy of formation: -2.7 eV per formula unit
- Offset from the most stable computed form: 48 meV/atom

Cell: 3.1819 3.1878 7.1952 Å, 102.84 90.00 119.94°
Fractional coordinates of all 4 atoms:
Ti (0.2804, 0.0608, 0.3424)
Ti (0.7196, 0.9392, 0.6576)
Sn (0.5000, 0.5000, 0.0000)
C (0.0000, 0.5000, 0.5000)


Computed, not measured: Ti6Sn3C after structural relaxation at the PBE level of DFT.

- Energy of formation: -2.7 eV per formula unit

Cell: 7.0309 5.7317 5.7317 Å, 60.51 71.80 71.80°
Fractional coordinates of all 10 atoms:
Ti (0.3828, 0.1506, 0.6433)
Ti (0.6172, 0.3567, 0.8494)
Ti (0.6172, 0.8494, 0.3567)
Ti (0.3828, 0.6433, 0.1506)
Ti (0.2179, 0.6782, 0.6782)
Ti (0.7821, 0.3218, 0.3218)
Sn (0.2375, 0.2000, 0.2000)
Sn (0.7625, 0.8000, 0.8000)
Sn (0.0000, 0.0000, 0.0000)
C (0.5000, 0.5000, 0.5000)


Computed, not measured: Ti12Sn5C2 after structural relaxation at the PBE level of DFT.

- Energy of formation: -4.4 eV per formula unit

Cell: 6.5462 8.3594 7.8780 Å, 118.09 90.00 113.05°
Last column: magnetic moment on the atom in μB.
Fractional coordinates of all 19 atoms:
Ti (0.9999, 0.9998, 0.1691)  0.01
Ti (0.0964, 0.6928, 0.8461)  0.06
Ti (0.5965, 0.6928, 0.8461)  0.06
Ti (0.1816, 0.7460, 0.3733)  0.69
Ti (0.5644, 0.7460, 0.3733)  0.69
Ti (0.5004, 0.0008, 0.8117)  0.02
Ti (0.4996, 0.9992, 0.1883)  0.02
Ti (0.8184, 0.2540, 0.6267)  0.69
Ti (0.4356, 0.2540, 0.6267)  0.69
Ti (0.9036, 0.3072, 0.1539)  0.06
Ti (0.4035, 0.3072, 0.1539)  0.06
Ti (0.0001, 0.0002, 0.8309)  0.01
Sn (0.2341, 0.4682, 0.4993)  -0.01
Sn (0.2346, 0.4693, 0.9698)  -0.01
Sn (0.0000, 0.0000, 0.5000)  -0.01
Sn (0.7654, 0.5307, 0.0302)  -0.01
Sn (0.7659, 0.5318, 0.5007)  -0.01
C (0.7406, 0.0000, 0.0000)  0.00
C (0.2594, 0.0000, 0.0000)  0.00


Computed, not measured: Ti4SnC after structural relaxation at the PBE level of DFT.

- Energy of formation: -2.2 eV per formula unit
- Offset from the most stable computed form: 0 meV/atom

Cell: 3.0379 4.7403 7.2225 Å, 107.57 90.00 90.00°
Fractional coordinates of all 6 atoms:
Ti (0.0000, 0.9154, 0.2723)
Ti (0.5000, 0.3048, 0.0882)
Ti (0.5000, 0.6952, 0.9118)
Ti (0.0000, 0.0846, 0.7277)
Sn (0.5000, 0.5000, 0.5000)
C (0.0000, 0.0000, 0.0000)


Computed, not measured: Ti6Sn2C after structural relaxation at the PBE level of DFT.

- Energy of formation: -4.2 eV per formula unit
- Offset from the most stable computed form: 0 meV/atom

Cell: 5.9431 5.9429 8.3861 Å, 90.00 90.00 90.00°
Fractional coordinates of all 18 atoms:
Ti (0.0001, 0.0000, 0.2438)
Ti (0.7442, 0.7444, 0.5000)
Ti (0.7556, 0.7557, 0.0000)
Ti (0.7444, 0.2557, 0.5000)
Ti (0.7558, 0.2444, 0.0000)
Ti (0.4999, 0.5000, 0.2562)
Ti (0.9999, 0.0000, 0.7562)
Ti (0.2558, 0.2556, 0.5000)
Ti (0.2444, 0.2443, 0.0000)
Ti (0.2556, 0.7443, 0.5000)
Ti (0.2442, 0.7556, 0.0000)
Ti (0.5001, 0.5000, 0.7438)
Sn (0.0000, 0.5000, 0.7500)
Sn (0.5000, 0.0000, 0.7500)
Sn (0.5000, 0.0000, 0.2500)
Sn (0.0000, 0.5000, 0.2500)
C (0.5000, 0.5000, 0.0000)
C (0.0000, 0.0000, 0.5000)


Computed, not measured: Ti4Sn2C after structural relaxation at the PBE level of DFT.

- Energy of formation: -3.6 eV per formula unit
- Offset from the most stable computed form: 0 meV/atom

Cell: 4.1533 4.1533 7.7263 Å, 74.41 74.41 90.00°
Fractional coordinates of all 7 atoms:
C (0.0000, 0.0000, 0.0000)
Sn (0.3513, 0.3513, 0.2973)
Sn (0.6487, 0.6487, 0.7027)
Ti (0.1492, 0.1492, 0.7015)
Ti (0.8508, 0.8508, 0.2985)
Ti (0.0000, 0.5000, 0.0000)
Ti (0.5000, 0.0000, 0.0000)


Computed, not measured: Ti4SnC after structural relaxation at the PBE level of DFT.

- Energy of formation: -1.4 eV per formula unit
- Offset from the most stable computed form: 123 meV/atom

Cell: 5.3209 5.3343 7.1415 Å, 90.00 77.73 90.00°
Fractional coordinates of all 12 atoms:
Ti (0.9509, 0.5711, 0.2232)
Ti (0.5491, 0.0711, 0.7768)
Ti (0.3746, 0.3628, 0.4128)
Ti (0.1254, 0.8628, 0.5872)
Ti (0.0491, 0.4289, 0.7768)
Ti (0.4509, 0.9289, 0.2232)
Ti (0.6254, 0.6372, 0.5872)
Ti (0.8746, 0.1372, 0.4128)
Sn (0.0000, 0.0000, 0.0000)
Sn (0.5000, 0.5000, 0.0000)
C (0.5000, 0.0000, 0.5000)
C (0.0000, 0.5000, 0.5000)